Entry 1:
This record from the Alexandria database describes crystalline Li2Ge2Au at its relaxed geometry. The functional is PBE.

The structure belongs to space group P4/mbm (No. 127); the cell edges are 6.542, 6.542 and 4.154 Å and the angles 90.00°, 90.00° and 90.00°. The asymmetric unit holds Li at (0.165, 0.335, 0.000), Ge at (0.133, 0.633, 0.500) and Au at (0.000, 0.000, 0.500).

The value obtained for the total DFT energy (no corrections) is -36.10 eV/cell. The calculation puts the formation enthalpy at 0 K at -0.342 eV/atom.


Entry 2:
This record from the Alexandria database describes crystalline HfSbAuBr2 at its relaxed geometry. The functional is PBE.

The structure belongs to space group P4/mmm (No. 123); the cell edges are 5.080, 5.080 and 5.698 Å and the angles 90.00°, 90.00° and 90.00°. The asymmetric unit holds Hf at (0.000, 0.000, 0.000), Sb at (0.500, 0.500, 0.000), Au at (0.000, 0.000, 0.500) and Br at (0.000, 0.500, 0.500).

The value obtained for the total DFT energy (no corrections) is -17.80 eV/cell.


Entry 3:
This record from the Alexandria database describes crystalline Sr2AcLaIn4 at its relaxed geometry. The functional is PBE.

The structure belongs to space group R-3m (No. 166, hexagonal axes); the cell edges are 5.7267, 5.7267 and 28.0756 Å and the angles 90.00°, 90.00° and 120.00°. The asymmetric unit holds Sr at (0.0000, 0.0000, 0.2503), Ac at (0.0000, 0.0000, 0.5000), La at (0.0000, 0.0000, 0.0000), In at (0.0000, 0.0000, 0.1229) and In at (0.0000, 0.0000, 0.3735).

The value obtained for the total DFT energy (no corrections) is -80.38 eV/cell. The calculation puts the formation enthalpy at 0 K at -0.430 eV/atom.


Entry 4:
This record from the Alexandria database describes crystalline La2ZnPt at its relaxed geometry. The functional is PBE.

The structure belongs to space group P2_1/m (No. 11); the cell edges are 6.184, 4.611 and 8.031 Å and the angles 90.00°, 112.40° and 90.00°. The asymmetric unit holds La at (0.218, 0.250, 0.434), La at (0.233, 0.250, 0.917), Zn at (0.340, 0.750, 0.209) and Pt at (0.361, 0.750, 0.712).

The value obtained for the total DFT energy (no corrections) is -40.31 eV/cell. The calculation puts the formation enthalpy at 0 K at -0.746 eV/atom.


Entry 5:
This record from the Alexandria database describes crystalline WBr3 at its relaxed geometry. The functional is PBE.

The structure belongs to space group Cmmm (No. 65); the cell edges are 6.456, 8.335 and 3.331 Å and the angles 90.00°, 90.00° and 90.00°. The asymmetric unit holds W at (0.000, 0.000, 0.000), Br at (0.000, 0.500, 0.000) and Br at (0.250, 0.250, 0.500).

The value obtained for the total DFT energy (no corrections) is -25.81 eV/cell.


Entry 6:
This record from the Alexandria database describes crystalline SrAc2Os at its relaxed geometry. The functional is PBE.

The structure belongs to space group C2/m (No. 12); the cell edges are 17.950, 4.408 and 8.266 Å and the angles 90.00°, 97.54° and 90.00°. The asymmetric unit holds Sr at (0.033, 0.000, 0.250), Ac at (0.163, 0.500, 0.007), Ac at (0.188, 0.000, 0.607) and Os at (0.216, 0.000, 0.239).

The value obtained for the total DFT energy (no corrections) is -83.83 eV/cell. The calculation puts the formation enthalpy at 0 K at 0.043 eV/atom.


Entry 7:
This record from the Alexandria database describes crystalline Ho2ScPd at its relaxed geometry. The functional is PBE.

The structure belongs to space group R-3m (No. 166, hexagonal axes); the cell edges are 3.4492, 3.4492 and 31.2538 Å and the angles 90.00°, 90.00° and 120.00°. The asymmetric unit holds Ho at (0.0000, 0.0000, 0.1017), Sc at (0.0000, 0.0000, 0.0000) and Pd at (0.0000, 0.0000, 0.5000).

The value obtained for the total DFT energy (no corrections) is -62.62 eV/cell. The calculation puts the formation enthalpy at 0 K at -0.048 eV/atom.


Entry 8:
This record from the Alexandria database describes crystalline Th2GeH2 at its relaxed geometry. The functional is PBE.

The structure belongs to space group Fddd (No. 70, origin choice 2); the cell edges are 6.795, 10.306 and 10.592 Å and the angles 90.00°, 90.00° and 90.00°. The asymmetric unit holds Th at (0.125, 0.337, 0.125), Ge at (0.125, 0.125, 0.625) and H at (0.125, 0.125, 0.018).

The value obtained for the total DFT energy (no corrections) is -228.46 eV/cell.


We obtain DOS at the Fermi energy values of 1.49 3.87 24.02 6.37 8.03 14.90 13.24 20.20 states/eV/cell for the records listed above, in that order.